--- w ---
The following is a PBE calculation of a geometry-optimized Cs2GaHgSb structure, from Alexandria.

Lattice parameters (Å, degrees): 7.121 7.121 5.353 90.00 90.00 90.00
Fractional positions:
1 Cs 0.000 0.500 0.000
2 Cs 0.500 0.000 0.000
3 Sb 0.000 0.000 0.500
4 Hg 0.500 0.500 0.500
5 Ga 0.000 0.000 0.000

V in Å³/f.u.: 271.5
Mass density in g/cm³: 4.024
Total moment in Bohr magnetons per cell: 0.0
D(E_F) in states/eV per atom: 0.6869



--- x ---
The following is a PBE calculation of a geometry-optimized Cs2GaHgSb structure, from Alexandria.

Lattice parameters (Å, degrees): 4.467 10.816 11.355 119.61 90.00 90.00
Fractional positions:
1 Cs 0.750 0.740 0.607
2 Cs 0.750 0.743 0.121
3 Cs 0.250 0.260 0.393
4 Cs 0.250 0.257 0.879
5 Ga 0.250 0.597 0.807
6 Ga 0.750 0.403 0.193
7 Hg 0.250 0.895 0.930
8 Hg 0.750 0.105 0.070
9 Sb 0.250 0.569 0.286
10 Sb 0.750 0.431 0.714

V in Å³/f.u.: 238.5
Mass density in g/cm³: 4.581
Total moment in Bohr magnetons per cell: 0.0
D(E_F) in states/eV per atom: 0.5181



Relative energies with respect to the most stable structure, expressed in meV per atom: w 174; x 0.



--- w ---
The following is a PBE calculation of a geometry-optimized CsGa2I3 structure, from Alexandria.

Lattice parameters (Å, degrees): 7.526 8.752 9.843 106.51 90.00 115.47
Fractional positions:
1 Cs 0.989 0.000 0.250
2 Cs 0.011 0.000 0.750
3 Ga 0.306 0.676 0.423
4 Ga 0.370 0.676 0.923
5 Ga 0.630 0.324 0.077
6 Ga 0.694 0.324 0.577
7 I 0.510 0.000 0.750
8 I 0.490 0.000 0.250
9 I 0.752 0.615 0.897
10 I 0.138 0.385 0.603
11 I 0.862 0.615 0.397
12 I 0.248 0.385 0.103

V in Å³/f.u.: 277.8
Mass density in g/cm³: 3.903
Total moment in Bohr magnetons per cell: 0.0
D(E_F) in states/eV per atom: 0.0000



--- x ---
The following is a PBE calculation of a geometry-optimized CsGa2I3 structure, from Alexandria.

Lattice parameters (Å, degrees): 6.468 9.650 9.650 104.72 90.00 90.00
Fractional positions:
1 Cs 0.250 0.334 0.666
2 Cs 0.750 0.666 0.334
3 Ga 0.000 0.128 0.128
4 Ga 0.500 0.128 0.128
5 Ga 0.000 0.872 0.872
6 Ga 0.500 0.872 0.872
7 I 0.750 0.171 0.829
8 I 0.750 0.208 0.401
9 I 0.250 0.401 0.208
10 I 0.750 0.599 0.792
11 I 0.250 0.792 0.599
12 I 0.250 0.829 0.171

V in Å³/f.u.: 291.3
Mass density in g/cm³: 3.723
Total moment in Bohr magnetons per cell: 0.0



Relative energies with respect to the most stable structure, expressed in meV per atom: w 0; x 54.



--- w ---
The following is a PBE calculation of a geometry-optimized Cs2GaI4 structure, from Alexandria.

Lattice parameters (Å, degrees): 8.166 8.385 11.344 90.00 109.93 90.00
Fractional positions:
1 Cs 0.713 0.750 0.044
2 Cs 0.287 0.250 0.956
3 Cs 0.203 0.250 0.418
4 Cs 0.797 0.750 0.582
5 Ga 0.306 0.750 0.213
6 Ga 0.694 0.250 0.787
7 I 0.524 0.483 0.274
8 I 0.144 0.750 0.946
9 I 0.856 0.250 0.054
10 I 0.524 0.017 0.274
11 I 0.910 0.250 0.637
12 I 0.476 0.983 0.726
13 I 0.476 0.517 0.726
14 I 0.090 0.750 0.363

V in Å³/f.u.: 365.1
Mass density in g/cm³: 3.835
Total moment in Bohr magnetons per cell: 0.0
D(E_F) in states/eV per atom: 0.5725



--- x ---
The following is a PBE calculation of a geometry-optimized Cs2GaI4 structure, from Alexandria.

Lattice parameters (Å, degrees): 5.850 5.850 10.637 74.04 74.04 90.00
Fractional positions:
1 Cs 0.357 0.357 0.286
2 Cs 0.643 0.643 0.714
3 I 0.157 0.157 0.686
4 I 0.843 0.843 0.314
5 I 0.000 0.500 0.000
6 I 0.500 0.000 0.000
7 Ga 0.000 0.000 0.000

V in Å³/f.u.: 335.3
Mass density in g/cm³: 4.175
Total moment in Bohr magnetons per cell: 0.0
D(E_F) in states/eV per atom: 0.3223



Relative energies with respect to the most stable structure, expressed in meV per atom: w 17; x 0.



--- w ---
The following is a PBE calculation of a geometry-optimized Cs2LaGaI6 structure, from Alexandria.

Lattice parameters (Å, degrees): 8.731 9.129 12.625 90.00 89.59 90.00
Fractional positions:
1 Cs 0.022 0.932 0.251
2 Cs 0.522 0.568 0.751
3 Cs 0.978 0.068 0.749
4 Cs 0.478 0.432 0.249
5 La 0.500 0.000 0.500
6 La 0.000 0.500 0.000
7 Ga 0.500 0.000 0.000
8 Ga 0.000 0.500 0.500
9 I 0.295 0.697 0.040
10 I 0.795 0.803 0.540
11 I 0.705 0.303 0.960
12 I 0.205 0.197 0.460
13 I 0.305 0.710 0.462
14 I 0.805 0.790 0.962
15 I 0.695 0.290 0.538
16 I 0.195 0.210 0.038
17 I 0.922 0.511 0.246
18 I 0.422 0.989 0.746
19 I 0.078 0.489 0.754
20 I 0.578 0.011 0.254

V in Å³/f.u.: 503.1
Mass density in g/cm³: 4.079
Total moment in Bohr magnetons per cell: 0.0
D(E_F) in states/eV per atom: 0.0000



--- x ---
The following is a PBE calculation of a geometry-optimized Cs2LaGaI6 structure, from Alexandria.

Lattice parameters (Å, degrees): 9.008 9.008 9.010 60.01 60.01 90.00
Fractional positions:
1 Cs 0.750 0.250 0.500
2 Cs 0.250 0.750 0.500
3 I 0.248 0.248 0.505
4 I 0.752 0.752 0.495
5 I 0.248 0.248 0.000
6 I 0.752 0.752 0.000
7 I 0.752 0.248 0.000
8 I 0.248 0.752 0.000
9 Ga 0.500 0.500 0.000
10 La 0.000 0.000 0.000

V in Å³/f.u.: 517.1
Mass density in g/cm³: 3.968
Total moment in Bohr magnetons per cell: 0.0
D(E_F) in states/eV per atom: 0.0000



Relative energies with respect to the most stable structure, expressed in meV per atom: w 0; x 20.



--- w ---
The following is a PBE calculation of a geometry-optimized CsGaIN2 structure, from Alexandria.

Lattice parameters (Å, degrees): 5.009 5.009 7.626 90.00 90.00 90.00
Fractional positions:
1 Cs 0.000 0.000 0.000
2 I 0.000 0.000 0.500
3 Ga 0.500 0.500 0.500
4 N 0.000 0.500 0.000
5 N 0.500 0.000 0.000

V in Å³/f.u.: 191.3
Mass density in g/cm³: 3.103
Total moment in Bohr magnetons per cell: 4.4
D(E_F) in states/eV per atom: 0.3505



--- x ---
The following is a PBE calculation of a geometry-optimized CsGaIN2 structure, from Alexandria.

Lattice parameters (Å, degrees): 4.730 4.730 5.787 90.00 90.00 90.00
Fractional positions:
1 Cs 0.500 0.500 0.500
2 I 0.000 0.000 0.500
3 Ga 0.000 0.000 0.000
4 N 0.000 0.500 0.000
5 N 0.500 0.000 0.000

V in Å³/f.u.: 129.5
Mass density in g/cm³: 4.586
Total moment in Bohr magnetons per cell: 3.3
D(E_F) in states/eV per atom: 0.2589



Relative energies with respect to the most stable structure, expressed in meV per atom: w 762; x 0.



--- w ---
The following is a PBE calculation of a geometry-optimized CsGaI2O structure, from Alexandria.

Lattice parameters (Å, degrees): 6.469 6.469 3.713 90.00 90.00 90.00
Fractional positions:
1 Cs 0.500 0.500 0.500
2 I 0.000 0.500 0.000
3 I 0.500 0.000 0.000
4 O 0.000 0.000 0.500
5 Ga 0.000 0.000 0.000

V in Å³/f.u.: 155.4
Mass density in g/cm³: 5.049
Total moment in Bohr magnetons per cell: 0.0
D(E_F) in states/eV per atom: 0.4106



--- x ---
The following is a PBE calculation of a geometry-optimized CsGaI2O structure, from Alexandria.

Lattice parameters (Å, degrees): 7.190 7.190 4.409 90.00 90.00 90.00
Fractional positions:
1 Cs 0.000 0.000 0.000
2 I 0.000 0.500 0.000
3 I 0.500 0.000 0.000
4 O 0.000 0.000 0.500
5 Ga 0.500 0.500 0.500

V in Å³/f.u.: 227.9
Mass density in g/cm³: 3.442
Total moment in Bohr magnetons per cell: 0.8
D(E_F) in states/eV per atom: 1.2142



Relative energies with respect to the most stable structure, expressed in meV per atom: w 0; x 983.